[1]
Tb3Pr4Y: optimized geometry, GGA-PBE.

The structure in POSCAR format:
```
Tb3Pr4Y
1.0
6.360 0.000 0.000
0.000 7.376 0.000
0.000 0.000 11.748
Y Pr Tb
2 8 6
Direct
0.649 0.620 0.500 Y
0.149 0.380 0.000 Y
0.482 0.871 0.250 Pr
0.482 0.871 0.750 Pr
0.646 0.127 0.500 Pr
0.982 0.129 0.250 Pr
0.146 0.872 0.500 Pr
0.982 0.129 0.750 Pr
0.146 0.873 0.000 Pr
0.646 0.128 0.000 Pr
0.481 0.379 0.750 Tb
0.981 0.621 0.250 Tb
0.648 0.621 0.000 Tb
0.481 0.379 0.250 Tb
0.148 0.379 0.500 Tb
0.981 0.621 0.750 Tb
```

Values from the calculation:
Energy of formation from the pure elements: 0.030 eV/atom
Energy above the lowest structure with this stoichiometry: 0.00 eV per formula unit
M_tot: 0.00 μB/cell


[2]
LaAlTc2: optimized geometry, GGA-PBE.

The structure in POSCAR format:
```
LaAlTc2
1.0
-4.357 -0.815 1.175
0.724 -4.507 -0.439
0.923 -0.174 3.305
Tc Al La
2 1 1
Direct
0.500 0.500 0.000 Tc
0.000 0.000 0.000 Tc
0.500 0.000 0.500 Al
0.000 0.500 0.500 La
```

Values from the calculation:
Energy of formation from the pure elements: 0.224 eV/atom
M_tot: 1.94 μB/cell


[3]
NaYAs2Br: optimized geometry, GGA-PBE.

The structure in POSCAR format:
```
NaYAs2Br
1.0
-1.948 2.662 -3.739
-4.543 -1.693 1.162
-0.677 4.025 3.219
Na Br As Y
1 1 2 1
Direct
0.000 0.000 0.000 Na
0.000 0.000 0.500 Br
0.000 0.500 0.000 As
0.500 0.000 0.000 As
0.500 0.500 0.500 Y
```

Values from the calculation:
Energy above the lowest structure with this stoichiometry: 2.33 eV per formula unit
M_tot: 0.00 μB/cell


no.,density of states at the Fermi level (states/eV/atom)
1,1.82
2,1.17
3,0.63